Entry 1:
Here is crystalline ReBAsBr2 at its relaxed geometry from the Alexandria database. Energies are from GGA-PBE.

abc: 5.2426 5.2426 4.7443
angles: 90.00 90.00 90.00
Last column: nearest neighbours and their distance in Å.
Fractional positions:
Re  0.0000  0.0000  0.0000  2 As 2.37, 4 Br 2.62
B  0.5000  0.5000  0.5000  8 Br 3.54, 4 As 3.71
As  0.0000  0.0000  0.5000  2 Re 2.37
Br  0.0000  0.5000  0.0000  2 Re 2.62
Br  0.5000  0.0000  0.0000  2 Re 2.62

formation energy from raw total energies = 1417 meV/atom
excess energy over the best structure of this formula in the dataset = 0 meV per atom

---

Entry 2:
Here is crystalline LaDyEr2In4 at its relaxed geometry from the Alexandria database. Energies are from GGA-PBE.

abc: 9.3300 9.3300 9.3300
angles: 33.41 33.41 33.41
Last column: nearest neighbours and their distance in Å.
Fractional positions:
La  0.0000  0.0000  0.0000  8 In 3.31-3.36
Dy  0.5000  0.5000  0.5000  8 In 3.24-3.27
Er  0.2496  0.2496  0.2496  8 In 3.23-3.38
Er  0.7504  0.7504  0.7504  8 In 3.23-3.38
In  0.1272  0.1272  0.1272  4 Er 3.23-3.30, 3 Dy 3.27, 1 La 3.36
In  0.3774  0.3774  0.3774  1 Dy 3.24, 4 Er 3.27-3.38, 3 La 3.31
In  0.6226  0.6226  0.6226  1 Dy 3.24, 4 Er 3.27-3.38, 3 La 3.31
In  0.8728  0.8728  0.8728  4 Er 3.23-3.30, 3 Dy 3.27, 1 La 3.36

energy of formation = -0.46 eV/atom

---

Entry 3:
Here is crystalline ZrScTlCd at its relaxed geometry from the Alexandria database. Energies are from GGA-PBE.

abc: 4.2465 4.5626 4.6201
angles: 90.00 90.00 90.00
Last column: nearest neighbours and their distance in Å.
Fractional positions:
Zr  0.0000  0.0000  0.0000  4 Tl 3.12, 4 Cd 3.14, 4 Sc 3.25
Sc  0.0000  0.5000  0.5000  4 Cd 3.12, 4 Tl 3.14, 4 Zr 3.25
Tl  0.5000  0.5000  0.0000  4 Zr 3.12, 4 Sc 3.14, 4 Cd 3.25
Cd  0.5000  0.0000  0.5000  4 Sc 3.12, 4 Zr 3.14, 4 Tl 3.25

energy of formation = -0.18 eV/atom
excess energy over the best structure of this formula in the dataset = 0 meV per atom

---

Entry 4:
Here is crystalline Li2SiSb at its relaxed geometry from the Alexandria database. Energies are from GGA-PBE.

abc: 3.0473 4.1511 5.7006
angles: 90.00 90.00 90.00
Last column: nearest neighbours and their distance in Å.
Fractional positions:
Li  0.0000  0.0000  0.2294  1 Li 2.62, 4 Si 2.89
Li  0.0000  0.0000  0.7706  1 Li 2.62, 4 Si 2.89
Si  0.5000  0.5000  0.0000  2 Sb 2.85, 8 Li 2.89, 2 Si 3.05
Sb  0.5000  0.5000  0.5000  2 Si 2.85, 8 Li 3.00, 2 Sb 3.05

formation energy from raw total energies = -189 meV/atom
excess energy over the best structure of this formula in the dataset = 31 meV per atom

---

Entry 5:
Here is crystalline MgInSb at its relaxed geometry from the Alexandria database. Energies are from GGA-PBE.

abc: 5.0136 6.3395 7.1363
angles: 112.14 90.19 113.00
Last column: nearest neighbours and their distance in Å.
Fractional positions:
Mg  0.1949  0.3832  0.3069  3 Sb 2.87-2.91, 1 In 3.13
Mg  0.8051  0.6168  0.6931  3 Sb 2.87-2.91, 1 In 3.13
In  0.3177  0.6373  0.9970  2 Sb 2.95-3.01, 2 In 2.98-2.99, 3 Mg 3.13-3.29
In  0.6823  0.3627  0.0030  2 Sb 2.95-3.01, 2 In 2.98-2.99, 3 Mg 3.13-3.29
Sb  0.4195  0.8484  0.6768  3 Mg 2.87-2.91, 2 In 2.95-3.01
Sb  0.5805  0.1516  0.3232  3 Mg 2.87-2.91, 2 In 2.95-3.01

formation energy from raw total energies = -111 meV/atom

---

Entry 6:
Here is crystalline LiOs2Au at its relaxed geometry from the Alexandria database. Energies are from GGA-PBE.

abc: 5.0288 5.0288 2.7307
angles: 90.00 90.00 119.91
Last column: nearest neighbours and their distance in Å.
Fractional positions:
Li  0.0000  0.0000  0.0000  2 Au 2.52, 2 Li 2.73
Os  0.0000  0.5000  0.5000  4 Os 2.52-2.73
Os  0.5000  0.0000  0.5000  4 Os 2.52-2.73
Au  0.5000  0.5000  0.0000  2 Li 2.52, 2 Au 2.73

energy of formation = 0.53 eV/atom
excess energy over the best structure of this formula in the dataset = 393 meV per atom

---

Entry 7:
Here is crystalline Ac2SeO at its relaxed geometry from the Alexandria database. Energies are from GGA-PBE.

abc: 6.6202 6.7548 12.3028
angles: 90.00 119.95 90.00
Last column: nearest neighbours and their distance in Å.
Fractional positions:
Ac  0.0724  0.2347  0.0870  2 O 2.43-2.49
Ac  0.0724  0.7653  0.5870  2 O 2.43-2.49
Ac  0.3074  0.2369  0.8319  2 O 2.51-2.57
Ac  0.3074  0.7631  0.3319  2 O 2.51-2.57
Ac  0.6926  0.2369  0.6681  2 O 2.51-2.57
Ac  0.6926  0.7631  0.1681  2 O 2.51-2.57
Ac  0.9276  0.2347  0.4130  2 O 2.43-2.49
Ac  0.9276  0.7653  0.9130  2 O 2.43-2.49
Se  0.3851  0.2671  0.3759  6 Ac 3.10-3.45
Se  0.3851  0.7329  0.8759  6 Ac 3.10-3.45
Se  0.6149  0.2671  0.1241  6 Ac 3.10-3.45
Se  0.6149  0.7329  0.6241  6 Ac 3.10-3.45
O  0.0087  0.1056  0.8828  4 Ac 2.43-2.57
O  0.0087  0.8944  0.3828  4 Ac 2.43-2.57
O  0.9913  0.1056  0.6172  4 Ac 2.43-2.57
O  0.9913  0.8944  0.1172  4 Ac 2.43-2.57

formation energy from raw total energies = -2093 meV/atom
excess energy over the best structure of this formula in the dataset = 64 meV per atom

---

Entry 8:
Here is crystalline CsMnCd2Cl8 at its relaxed geometry from the Alexandria database. Energies are from GGA-PBE.

abc: 6.3808 6.7294 9.8363
angles: 81.39 82.74 66.16
Last column: nearest neighbours and their distance in Å.
Fractional positions:
Cs  0.0000  0.0000  0.0000  8 Cl 3.68-3.85
Mn  0.0000  0.0000  0.5000  4 Cl 2.29-2.31
Cd  0.3073  0.4317  0.6555  3 Cl 2.42-2.69
Cd  0.6927  0.5683  0.3445  3 Cl 2.42-2.69
Cl  0.0126  0.7491  0.3598  1 Mn 2.31
Cl  0.0841  0.2047  0.3108  1 Mn 2.29
Cl  0.3788  0.3021  0.8947  1 Cd 2.42
Cl  0.4410  0.7581  0.5488  2 Cd 2.56-2.69, 1 Mn 2.68
Cl  0.5590  0.2419  0.4512  2 Cd 2.56-2.69, 1 Mn 2.68
Cl  0.6212  0.6979  0.1053  1 Cd 2.42
Cl  0.9159  0.7953  0.6892  1 Mn 2.29
Cl  0.9874  0.2509  0.6402  1 Mn 2.31

formation energy from raw total energies = -1178 meV/atom

---

Entry 9:
Here is crystalline Mn4SbAu at its relaxed geometry from the Alexandria database. Energies are from GGA-PBE.

abc: 5.0260 5.0260 5.0260
angles: 60.00 60.00 60.00
Last column: nearest neighbours and their distance in Å.
Fractional positions:
Mn  0.1246  0.1246  0.1246  6 Mn 2.51-2.52
Mn  0.1246  0.1246  0.6260  6 Mn 2.51-2.52
Mn  0.1246  0.6260  0.1246  6 Mn 2.51-2.52
Mn  0.6260  0.1246  0.1246  6 Mn 2.51-2.52
Sb  0.7500  0.7500  0.7500  12 Mn 2.95, 4 Au 3.08
Au  0.5000  0.5000  0.5000  12 Mn 2.95, 4 Sb 3.08

formation energy from raw total energies = 359 meV/atom

---

Entry 10:
Here is crystalline NaTl5Hg3 at its relaxed geometry from the Alexandria database. Energies are from GGA-PBE.

abc: 9.3119 9.3119 6.7195
angles: 90.00 90.00 63.87
Last column: nearest neighbours and their distance in Å.
Fractional positions:
Na  0.0000  0.0000  0.0000  2 Na 3.36, 6 Hg 3.36-3.60, 6 Tl 3.65-3.71
Na  0.0000  0.0000  0.5000  2 Na 3.36, 6 Hg 3.36-3.60, 6 Tl 3.65-3.71
Tl  0.0005  0.6516  0.2500  5 Hg 3.11-3.38
Tl  0.3353  0.3353  0.0000  8 Tl 3.36-3.62, 4 Hg 3.56-3.58
Tl  0.3353  0.3353  0.5000  8 Tl 3.36-3.62, 4 Hg 3.56-3.58
Tl  0.3361  0.6639  0.7500  5 Hg 3.11-3.36
Tl  0.3484  0.9995  0.2500  5 Hg 3.11-3.38
Tl  0.6516  0.0005  0.7500  5 Hg 3.11-3.38
Tl  0.6639  0.3361  0.2500  5 Hg 3.11-3.36
Tl  0.6647  0.6647  0.0000  8 Tl 3.36-3.62, 4 Hg 3.56-3.58
Tl  0.6647  0.6647  0.5000  8 Tl 3.36-3.62, 4 Hg 3.56-3.58
Tl  0.9995  0.3484  0.7500  5 Hg 3.11-3.38
Hg  0.0090  0.3086  0.2500  5 Tl 3.11-3.38, 2 Na 3.36
Hg  0.3086  0.0090  0.7500  5 Tl 3.11-3.38, 2 Na 3.36
Hg  0.3228  0.6772  0.2500  5 Tl 3.11-3.36
Hg  0.6772  0.3228  0.7500  5 Tl 3.11-3.36
Hg  0.6914  0.9910  0.2500  5 Tl 3.11-3.38, 2 Na 3.36
Hg  0.9910  0.6914  0.7500  5 Tl 3.11-3.38, 2 Na 3.36

energy of formation = -0.06 eV/atom

---

Entry 11:
Here is crystalline DyHoSc4 at its relaxed geometry from the Alexandria database. Energies are from GGA-PBE.

abc: 3.4062 5.3181 9.0187
angles: 90.00 100.85 90.00
Last column: nearest neighbours and their distance in Å.
Fractional positions:
Dy  0.0000  0.0000  0.0000  10 Sc 3.30-3.42, 2 Dy 3.41
Ho  0.2204  0.5000  0.4449  10 Sc 3.30-3.42, 2 Ho 3.41
Sc  0.3316  0.0000  0.6652  2 Ho 3.30, 8 Sc 3.31-3.41, 2 Dy 3.42
Sc  0.5546  0.5000  0.1102  4 Dy 3.30-3.31, 6 Sc 3.32-3.41, 2 Ho 3.42
Sc  0.6657  0.0000  0.3349  4 Ho 3.30, 6 Sc 3.32-3.41, 2 Dy 3.42
Sc  0.8876  0.5000  0.7784  2 Dy 3.30, 8 Sc 3.31-3.41, 2 Ho 3.41

energy of formation = 0.02 eV/atom
excess energy over the best structure of this formula in the dataset = 0 meV per atom

---

Entry 12:
Here is crystalline Mg2OsCSe at its relaxed geometry from the Alexandria database. Energies are from GGA-PBE.

abc: 4.4714 4.4714 3.9518
angles: 90.00 90.00 90.00
Last column: nearest neighbours and their distance in Å.
Fractional positions:
Mg  0.0000  0.5000  0.0000  2 C 2.24
Mg  0.5000  0.0000  0.0000  2 C 2.24
Os  0.0000  0.0000  0.5000  2 C 1.98
C  0.0000  0.0000  0.0000  2 Os 1.98
Se  0.5000  0.5000  0.5000  8 Mg 2.98, 4 Os 3.16

formation energy from raw total energies = 48 meV/atom

---

Entry 13:
Here is crystalline PuInPb6 at its relaxed geometry from the Alexandria database. Energies are from GGA-PBE.

abc: 6.7823 6.7823 5.8730
angles: 90.00 90.00 117.74
Last column: nearest neighbours and their distance in Å.
Fractional positions:
Pu  0.0000  0.0000  0.0000  8 Pb 3.39-3.47, 2 In 3.51
In  0.5000  0.5000  0.0000  8 Pb 3.37-3.39, 2 Pu 3.51
Pb  0.0000  0.5000  0.0000  2 In 3.39, 2 Pu 3.39, 6 Pb 3.43-3.51
Pb  0.2325  0.7675  0.5000  10 Pb 3.27-3.53
Pb  0.2635  0.2635  0.5000  5 Pb 3.27-3.52, 2 In 3.37, 2 Pu 3.47
Pb  0.5000  0.0000  0.0000  2 In 3.39, 2 Pu 3.39, 6 Pb 3.43-3.51
Pb  0.7365  0.7365  0.5000  5 Pb 3.27-3.52, 2 In 3.37, 2 Pu 3.47
Pb  0.7675  0.2325  0.5000  10 Pb 3.27-3.53

energy of formation = -0.02 eV/atom

---

Entry 14:
Here is crystalline Li4CuBr at its relaxed geometry from the Alexandria database. Energies are from GGA-PBE.

abc: 5.4732 5.4732 5.4732
angles: 60.00 60.00 60.00
Last column: nearest neighbours and their distance in Å.
Fractional positions:
Li  0.3759  0.3759  0.3759  6 Li 2.72-2.76
Li  0.3759  0.3759  0.8722  6 Li 2.72-2.76
Li  0.3759  0.8722  0.3759  6 Li 2.72-2.76
Li  0.8722  0.3759  0.3759  6 Li 2.72-2.76
Cu  0.7500  0.7500  0.7500  12 Li 3.21, 4 Br 3.35
Br  0.0000  0.0000  0.0000  12 Li 3.21, 4 Cu 3.35

formation energy from raw total energies = 55 meV/atom

---

Entry 15:
Here is crystalline HgAs2Br at its relaxed geometry from the Alexandria database. Energies are from GGA-PBE.

abc: 5.0336 5.0336 5.0336
angles: 119.95 119.95 90.09
Last column: nearest neighbours and their distance in Å.
Fractional positions:
Hg  0.0000  0.0000  0.0000  4 As 3.08, 4 Br 3.08
As  0.5000  0.5000  0.0000  4 As 3.08, 4 Br 3.08
As  0.7500  0.2500  0.5000  4 Hg 3.08, 4 As 3.08
Br  0.2500  0.7500  0.5000  4 Hg 3.08, 4 As 3.08

formation energy from raw total energies = 428 meV/atom
excess energy over the best structure of this formula in the dataset = 478 meV per atom

---

Entry 16:
Here is crystalline MnCo4 at its relaxed geometry from the Alexandria database. Energies are from GGA-PBE.

abc: 8.0158 8.0158 4.7642
angles: 90.00 90.00 90.00
Last column: nearest neighbours and their distance in Å.
Fractional positions:
Mn  0.2139  0.2861  0.0000  6 Co 2.69-2.79
Mn  0.2861  0.7861  0.0000  6 Co 2.69-2.79
Mn  0.7139  0.2139  0.0000  6 Co 2.69-2.79
Mn  0.7861  0.7139  0.0000  6 Co 2.69-2.79
Co  0.0000  0.0000  0.2183  5 Co 2.08-2.27
Co  0.0000  0.0000  0.7817  5 Co 2.08-2.27
Co  0.1044  0.3956  0.5000  5 Co 2.28-2.45
Co  0.1056  0.7971  0.5000  4 Co 2.17-2.28
Co  0.2029  0.1056  0.5000  4 Co 2.17-2.28
Co  0.2971  0.6056  0.5000  4 Co 2.17-2.28
Co  0.3944  0.2971  0.5000  4 Co 2.17-2.28
Co  0.3956  0.8956  0.5000  5 Co 2.28-2.45
Co  0.5000  0.5000  0.2183  5 Co 2.08-2.27
Co  0.5000  0.5000  0.7817  5 Co 2.08-2.27
Co  0.6044  0.1044  0.5000  5 Co 2.28-2.45
Co  0.6056  0.7029  0.5000  4 Co 2.17-2.28
Co  0.7029  0.3944  0.5000  4 Co 2.17-2.28
Co  0.7971  0.8944  0.5000  4 Co 2.17-2.28
Co  0.8944  0.2029  0.5000  4 Co 2.17-2.28
Co  0.8956  0.6044  0.5000  5 Co 2.28-2.45

energy of formation = 0.71 eV/atom
excess energy over the best structure of this formula in the dataset = 626 meV per atom

---

Entry 17:
Here is crystalline ScCdRuAu at its relaxed geometry from the Alexandria database. Energies are from GGA-PBE.

abc: 4.6534 4.6534 4.6534
angles: 60.00 60.00 60.00
Last column: nearest neighbours and their distance in Å.
Fractional positions:
Sc  0.0000  0.0000  0.0000  4 Ru 2.85, 4 Au 2.85
Cd  0.5000  0.5000  0.5000  4 Ru 2.85, 4 Au 2.85
Ru  0.7500  0.7500  0.7500  4 Cd 2.85, 4 Sc 2.85
Au  0.2500  0.2500  0.2500  4 Cd 2.85, 4 Sc 2.85

energy of formation = -0.28 eV/atom

---

Entry 18:
Here is crystalline Rb4NbS5 at its relaxed geometry from the Alexandria database. Energies are from GGA-PBE.

abc: 7.9001 7.9001 7.9001
angles: 100.59 100.59 129.22
Last column: nearest neighbours and their distance in Å.
Fractional positions:
Rb  0.0961  0.2968  0.3929  5 S 3.20-3.54
Rb  0.2968  0.9039  0.2007  5 S 3.20-3.54
Rb  0.7032  0.0961  0.7993  5 S 3.20-3.54
Rb  0.9039  0.7032  0.6071  5 S 3.20-3.54
Nb  0.5796  0.5796  0.0000  5 S 2.28-2.43
S  0.2685  0.5616  0.8479  1 Nb 2.43
S  0.4206  0.2685  0.7069  1 Nb 2.43
S  0.5616  0.7136  0.2931  1 Nb 2.43
S  0.7136  0.4206  0.1521  1 Nb 2.43
S  0.9159  0.9159  0.0000  1 Nb 2.28

formation energy from raw total energies = -1026 meV/atom

---

Entry 19:
Here is crystalline Cs3Tb2NpS6 at its relaxed geometry from the Alexandria database. Energies are from GGA-PBE.

abc: 7.1786 7.1786 8.4111
angles: 98.17 98.17 119.96
Last column: nearest neighbours and their distance in Å.
Fractional positions:
Cs  0.0000  0.0000  0.0000  6 S 3.49-3.51
Cs  0.3323  0.6677  0.0000  6 S 3.49-3.52
Cs  0.6677  0.3323  0.0000  6 S 3.49-3.52
Tb  0.1660  0.8340  0.5000  6 S 2.80-2.81
Tb  0.8340  0.1660  0.5000  6 S 2.80-2.81
Np  0.5000  0.5000  0.5000  6 S 2.82
S  0.1041  0.4390  0.3182  2 Tb 2.80-2.81, 1 Np 2.82
S  0.2257  0.2257  0.6826  2 Tb 2.80, 1 Np 2.82
S  0.4390  0.1041  0.3182  2 Tb 2.80-2.81, 1 Np 2.82
S  0.5610  0.8959  0.6818  2 Tb 2.80-2.81, 1 Np 2.82
S  0.7743  0.7743  0.3174  2 Tb 2.80, 1 Np 2.82
S  0.8959  0.5610  0.6818  2 Tb 2.80-2.81, 1 Np 2.82

formation energy from raw total energies = -1656 meV/atom

---

Entry 20:
Here is crystalline CeErGa3 at its relaxed geometry from the Alexandria database. Energies are from GGA-PBE.

abc: 12.9685 12.9685 4.1716
angles: 90.00 90.00 161.08
Last column: nearest neighbours and their distance in Å.
Fractional positions:
Ce  0.0738  0.9262  0.7500  12 Ga 3.22-3.42
Ce  0.9262  0.0738  0.2500  12 Ga 3.22-3.42
Er  0.2038  0.7962  0.2500  7 Ga 3.01-3.05
Er  0.7962  0.2038  0.7500  7 Ga 3.01-3.05
Ga  0.3219  0.6781  0.2500  2 Ga 2.55
Ga  0.3790  0.6210  0.7500  3 Ga 2.47-2.55
Ga  0.4755  0.5245  0.7500  3 Ga 2.43-2.47
Ga  0.5245  0.4755  0.2500  3 Ga 2.43-2.47
Ga  0.6210  0.3790  0.2500  3 Ga 2.47-2.55
Ga  0.6781  0.3219  0.7500  2 Ga 2.55

energy of formation = -0.61 eV/atom

---

Uncorrected energy? In order: -20.04, -33.28, -18.87, -14.13, -17.57, -25.54, -100.13, -40.77, -41.93, -29.25, -34.37, -26.89, -39.47, -13.09, -9.56, -136.12, -20.91, -44.84, -69.40, -45.21 eV/cell.
Total magnetic moment? In order: 1.2, 0.0, 0.6, 0.0, 0.0, 0.0, 1.0, 4.0, 9.8, 0.0, 0.0, 0.0, 5.9, 0.8, 0.0, 10.9, 0.0, 0.9, 4.0, 0.7 μB/f.u..